# CsVMoF6

A geometry-optimized CsVMoF6 structure (PBE+U, Alexandria).

Unit cell a=7.7451 b=7.8351 c=7.7784 alpha=120.24 beta=119.86 gamma=90.00
With the nearest neighbours (Å) after each atom.
Fractional coordinates of all 18 atoms:
V1 0.5000 0.0000 0.5000  6 F 2.09-2.13
V2 0.0000 0.0000 0.5000  6 F 2.09-2.13
F1 0.4231 0.6740 0.2451  1 Mo 2.09, 1 V 2.13
F2 0.1780 0.9289 0.7549  1 Mo 2.09, 1 V 2.13
F3 0.4260 0.6760 0.8520  2 Mo 2.12
F4 0.5740 0.3240 0.1480  2 Mo 2.12
F5 0.1780 0.3260 0.7549  1 Mo 2.09, 1 V 2.13
F6 0.8220 0.6740 0.2451  1 Mo 2.09, 1 V 2.13
F7 0.4231 0.0711 0.2451  1 Mo 2.09, 1 V 2.13
F8 0.8218 0.0718 0.6435  2 V 2.09
F9 0.5769 0.9289 0.7549  1 Mo 2.09, 1 V 2.13
F10 0.1782 0.9282 0.3565  2 V 2.09
F11 0.5769 0.3260 0.7549  1 Mo 2.09, 1 V 2.13
F12 0.8220 0.0711 0.2451  1 Mo 2.09, 1 V 2.13
Mo1 0.5000 0.0000 0.0000  6 F 2.09-2.12
Mo2 0.5000 0.5000 0.0000  6 F 2.09-2.12
Cs1 0.1035 0.3535 0.2071  5 F 3.09-3.32
Cs2 0.8965 0.6465 0.7929  5 F 3.09-3.32

Spin magnetization   6.00 μB per formula unit
Space-group type   Imma (74)
Electronic total energy   -5.6730 eV/atom